No. 1
Compound: NaRePb3
Source: Alexandria
Functional: PBE
Structure: relaxed

a = 5.384 Å, b = 5.384 Å, c = 5.384 Å
α = 90.00°, β = 90.00°, γ = 90.00°
Site moments in Bohr magnetons follow the coordinates.
Sites, in units of the cell vectors:
Re: 0.500 0.500 0.500  3.46
Pb: 0.500 0.000 0.000  -0.01
Pb: 0.000 0.000 0.500  -0.01
Pb: 0.000 0.500 0.000  -0.04
Na: 0.000 0.000 0.000  0.01

Output
distance to the lowest polymorph of the same formula: 1115.6 meV/atom
total magnetization: 4.1 Bohr magnetons per cell

***

No. 2
Compound: Na2RePb
Source: Alexandria
Functional: PBE
Structure: relaxed

a = 8.543 Å, b = 8.543 Å, c = 6.638 Å
α = 49.95°, β = 49.95°, γ = 90.00°
Site moments in Bohr magnetons follow the coordinates.
Sites, in units of the cell vectors:
Na: 0.139 0.625 0.250  -0.01
Na: 0.375 0.389 0.750  -0.01
Na: 0.875 0.861 0.750  -0.01
Na: 0.611 0.125 0.250  -0.01
Re: 0.500 0.500 0.000  1.86
Re: 0.250 0.750 0.500  1.86
Pb: 0.000 0.000 0.000  -0.10
Pb: 0.750 0.250 0.500  -0.10

Output
total magnetization: 4.0 Bohr magnetons per cell

***

No. 3
Compound: NaRePb3
Source: Alexandria
Functional: PBE
Structure: relaxed

a = 5.412 Å, b = 5.412 Å, c = 5.412 Å
α = 90.00°, β = 90.00°, γ = 90.00°
Sites, in units of the cell vectors:
Na: 0.500 0.500 0.500
Re: 0.000 0.000 0.000
Pb: 0.000 0.000 0.500
Pb: 0.000 0.500 0.000
Pb: 0.500 0.000 0.000

Output
distance to the lowest polymorph of the same formula: 0.0 meV/atom
total magnetization: 0.0 Bohr magnetons per cell

***

E_tot values, unit Ha/atom, following the record order: -0.1246, -0.1313, -0.1656.